PBE Pr8Sm2Al, optimized geometry; DOS at the Fermi energy = 15.24 states/eV per cell; V = 377.40 Å³ per cell; DFT total energy = -51.1 eV per cell; theoretical density = 6.4 g/cm3; energy of formation from the pure elements = 32 meV per atom
1.0
8.998 -2.768 0.000
8.998 2.768 0.000
-3.053 0.000 7.576
Pr Sm Al
8 2 1
Direct
0.018 0.018 0.273
0.176 0.176 0.723
0.338 0.338 0.581
0.402 0.402 0.078
0.598 0.598 0.922
0.662 0.662 0.419
0.824 0.824 0.277
0.982 0.982 0.727
0.191 0.191 0.155
0.809 0.809 0.845
0.500 0.500 0.500